Density functional theory data (GGA-PBE) for a relaxed structure of SiIrRh2.

Summary:
final energy: -7.539 eV per atom
DOS(E_F): 4.10 states/eV per cell
calculated density: 12.69 g/cm³

```
data_SiIrRh2
_symmetry_space_group_name_H-M 'P 1 2/m 1'
_symmetry_Int_Tables_number 10
_symmetry_space_group_name_Hall '-P 2y'
_cell_length_a 2.7980
_cell_length_b 3.8780
_cell_length_c 5.2625
_cell_angle_alpha 90.00
_cell_angle_beta 102.36
_cell_angle_gamma 90.00
loop_
_atom_site_label
_atom_site_fract_x
_atom_site_fract_y
_atom_site_fract_z
_atom_site_occupancy
Si1 0.0000 0.0000 0.0000 1
Ir1 0.0000 0.0000 0.5000 1
Rh1 0.3780 0.5000 0.2379 1
```